TlZnO2: optimized geometry, PBE.

Cell lengths 4.176, 4.176, 4.176 Å; angles 60.00, 60.00, 60.00 degrees
Fractional coordinates of all 4 atoms:
Tl 0.500 0.500 0.500
Zn 0.000 0.000 0.000
O 0.250 0.250 0.250
O 0.750 0.750 0.750

Summary:
DFT total energy in eV/atom: -3.59
Formation energy from raw total energies in meV per atom: -201

FeAg2Os: optimized geometry, PBE.

Cell lengths 7.264, 7.264, 5.757 Å; angles 50.89, 50.89, 90.00 degrees
Site moments in Bohr magnetons follow the coordinates.
Fractional coordinates of all 8 atoms:
Os 0.000 0.000 0.000  1.35
Os 0.750 0.250 0.500  1.35
Fe 0.500 0.500 0.000  3.11
Fe 0.250 0.750 0.500  3.11
Ag 0.610 0.125 0.250  0.06
Ag 0.140 0.625 0.250  0.06
Ag 0.375 0.390 0.750  0.06
Ag 0.875 0.860 0.750  0.06

Summary:
DFT total energy in eV/atom: -5.17
Calculated formation energy in kcal/mol of atoms: 27.127

Hf4InBi: optimized geometry, PBE.

Cell lengths 5.223, 5.234, 5.605 Å; angles 62.17, 89.99, 89.99 degrees
Fractional coordinates of all 6 atoms:
Hf 0.000 0.332 0.335
Hf 0.500 0.165 0.671
Hf 0.000 0.668 0.665
Hf 0.500 0.835 0.329
In 0.000 0.000 0.000
Bi 0.500 0.500 0.000

Summary:
DFT total energy in eV/atom: -7.86
Calculated formation energy in kcal/mol of atoms: -2.712

CsKPb3: optimized geometry, PBE.

Cell lengths 6.259, 6.259, 6.259 Å; angles 90.00, 90.00, 90.00 degrees
Fractional coordinates of all 5 atoms:
Pb 0.000 0.500 0.000
Pb 0.000 0.000 0.500
Pb 0.500 0.000 0.000
Cs 0.500 0.500 0.500
K 0.000 0.000 0.000

Summary:
DFT total energy in eV/atom: -2.09
Calculated formation energy in kcal/mol of atoms: 12.152

BaInBr2: optimized geometry, PBE.

Cell lengths 7.731, 7.731, 7.731 Å; angles 147.08, 143.32, 50.10 degrees
Site moments in Bohr magnetons follow the coordinates.
Fractional coordinates of all 4 atoms:
Ba 0.213 0.713 0.500  0.09
Br 0.037 0.037 0.000  0.01
Br 0.765 0.265 0.500  0.02
In 0.485 0.485 0.000  0.15

Summary:
DFT total energy in eV/atom: -3.22
Formation energy from raw total energies in meV per atom: -1215

B5C7: optimized geometry, PBE.

Cell lengths 2.595, 4.126, 8.532 Å; angles 94.81, 90.00, 90.00 degrees
Fractional coordinates of all 12 atoms:
B 0.000 0.969 0.006
B 0.500 0.679 0.024
B 0.000 0.406 0.441
B 0.500 0.892 0.361
B 0.500 0.329 0.889
C 0.500 0.413 0.134
C 0.000 0.238 0.169
C 0.500 0.594 0.482
C 0.000 0.073 0.326
C 0.000 0.157 0.840
C 0.000 0.929 0.697
C 0.500 0.821 0.630

Summary:
DFT total energy in eV/atom: -7.84
Calculated formation energy in kcal/mol of atoms: 7.391

RbFe3Ru: optimized geometry, PBE.

Cell lengths 4.526, 4.526, 4.526 Å; angles 90.00, 90.00, 90.00 degrees
Site moments in Bohr magnetons follow the coordinates.
Fractional coordinates of all 5 atoms:
Ru 0.500 0.500 0.500  1.78
Fe 0.000 0.500 0.000  2.65
Fe 0.000 0.000 0.500  2.35
Fe 0.500 0.000 0.000  2.90
Rb 0.000 0.000 0.000  -0.03

Summary:
DFT total energy in eV/atom: -4.29
Calculated formation energy in kcal/mol of atoms: 65.358

Ac2SmHoP4: optimized geometry, PBE.

Cell lengths 4.249, 7.371, 7.353 Å; angles 70.60, 90.00, 90.00 degrees
Fractional coordinates of all 8 atoms:
Ac 0.000 0.000 0.000
Ac 0.500 0.000 0.500
Sm 0.500 0.500 0.000
Ho 0.000 0.500 0.500
P 0.000 0.730 0.753
P 0.000 0.270 0.247
P 0.500 0.728 0.260
P 0.500 0.272 0.740

Summary:
DFT total energy in eV/atom: -6.38
Calculated formation energy in kcal/mol of atoms: -34.307

CsHfTe3: optimized geometry, PBE.

Cell lengths 6.074, 6.074, 6.074 Å; angles 90.00, 90.00, 90.00 degrees
Site moments in Bohr magnetons follow the coordinates.
Fractional coordinates of all 5 atoms:
Cs 0.000 0.000 0.000  -0.01
Te 0.000 0.500 0.000  -0.13
Te 0.000 0.000 0.500  -0.09
Te 0.500 0.000 0.000  -0.10
Hf 0.500 0.500 0.500  0.92

Summary:
DFT total energy in eV/atom: -2.51
Formation energy from raw total energies in meV per atom: 1534

Ta2CrI: optimized geometry, PBE.

Cell lengths 4.657, 4.657, 4.657 Å; angles 60.00, 60.00, 60.00 degrees
Fractional coordinates of all 4 atoms:
I 0.500 0.500 0.500
Cr 0.000 0.000 0.000
Ta 0.250 0.250 0.250
Ta 0.750 0.750 0.750

Summary:
DFT total energy in eV/atom: -7.74
Formation energy from raw total energies in meV per atom: 980

Er3Sb4Ir3: optimized geometry, PBE.

Cell lengths 8.435, 8.435, 8.435 Å; angles 109.47, 109.47, 109.47 degrees
Fractional coordinates of all 20 atoms:
Er 0.625 0.750 0.875
Er 0.875 0.250 0.625
Er 0.125 0.375 0.250
Er 0.375 0.125 0.750
Er 0.250 0.875 0.125
Er 0.750 0.625 0.375
Sb 0.000 0.000 0.354
Sb 0.500 0.354 0.500
Sb 0.646 0.146 0.146
Sb 0.000 0.000 0.854
Sb 0.854 0.500 0.000
Sb 0.500 0.854 0.500
Sb 0.354 0.500 0.000
Sb 0.146 0.646 0.646
Ir 0.125 0.750 0.375
Ir 0.375 0.250 0.125
Ir 0.625 0.875 0.250
Ir 0.875 0.625 0.750
Ir 0.250 0.375 0.625
Ir 0.750 0.125 0.875

Summary:
DFT total energy in eV/atom: -6.43
Formation energy from raw total energies in meV per atom: -756

CeCdAu: optimized geometry, PBE.

Cell lengths 3.601, 3.601, 6.117 Å; angles 107.12, 107.12, 90.00 degrees
Site moments in Bohr magnetons follow the coordinates.
Fractional coordinates of all 3 atoms:
Au 0.275 0.275 0.551  0.00
Ce 0.940 0.940 0.880  0.87
Cd 0.635 0.635 0.269  0.02

Summary:
DFT total energy in eV/atom: -3.77
Calculated formation energy in kcal/mol of atoms: -9.006

What did the first record say?
TlZnO2: optimized geometry, PBE.

Cell lengths 4.176, 4.176, 4.176 Å; angles 60.00, 60.00, 60.00 degrees
Fractional coordinates of all 4 atoms:
Tl 0.500 0.500 0.500
Zn 0.000 0.000 0.000
O 0.250 0.250 0.250
O 0.750 0.750 0.750

Summary:
DFT total energy in eV/atom: -3.59
Formation energy from raw total energies in meV per atom: -201

> Which of these has the lowest DFT total energy?

Hf4InBi